1.
Below is a relaxed LiIrRu crystal, with properties calculated at the PBE level.

Cell lengths 4.367, 4.367, 5.194 Å; angles 90.00, 90.00, 120.00 degrees
Element x y z (fractional)
Ir 0.333 0.667 0.750
Ir 0.667 0.333 0.250
Li 0.000 0.000 0.000
Li 0.000 0.000 0.500
Ru 0.333 0.667 0.250
Ru 0.667 0.333 0.750

Calculated values
Polymorph energy (0 for the lowest one) ... 0.195 eV per atom
ρ ... 11.6 g/cm³
E_form ... 0.534 eV/f.u.

***

2.
Below is a relaxed Tb12Ho6Th crystal, with properties calculated at the PBE level.

Cell lengths 8.519, 8.519, 8.519 Å; angles 88.78, 88.78, 88.78 degrees
Element x y z (fractional)
Ho 0.307 0.745 0.906
Ho 0.745 0.906 0.307
Ho 0.094 0.693 0.255
Ho 0.693 0.255 0.094
Ho 0.906 0.307 0.745
Ho 0.255 0.094 0.693
Tb 0.011 0.205 0.352
Tb 0.777 0.540 0.438
Tb 0.438 0.777 0.540
Tb 0.540 0.438 0.777
Tb 0.562 0.223 0.460
Tb 0.989 0.795 0.648
Tb 0.648 0.989 0.795
Tb 0.205 0.352 0.011
Tb 0.352 0.011 0.205
Tb 0.460 0.562 0.223
Tb 0.223 0.460 0.562
Tb 0.795 0.648 0.989
Th 0.000 0.000 0.000

Calculated values
Polymorph energy (0 for the lowest one) ... 0.000 eV per atom
ρ ... 8.4 g/cm³
E_form ... 2.709 eV/f.u.

***

3.
Below is a relaxed IrCl3 crystal, with properties calculated at the PBE level.

Cell lengths 11.823, 11.823, 11.823 Å; angles 14.28, 14.28, 14.28 degrees
Element x y z (fractional)
Cl 0.937 0.937 0.937
Cl 0.500 0.500 0.500
Cl 0.063 0.063 0.063
Ir 0.000 0.000 0.000

Calculated values
ρ ... 5.7 g/cm³
Uncorrected formation energy ... 0.23 eV/atom

***

4.
Below is a relaxed BaNi2 crystal, with properties calculated at the PBE level.

Cell lengths 9.963, 9.963, 3.960 Å; angles 90.00, 90.00, 159.57 degrees
Element x y z (fractional)
Ba 0.883 0.117 0.750
Ba 0.117 0.883 0.250
Ni 0.477 0.523 0.250
Ni 0.523 0.477 0.750
Ni 0.248 0.752 0.750
Ni 0.752 0.248 0.250

Calculated values
ρ ... 6.2 g/cm³
E_form ... 1.344 eV/f.u.

***

5.
Below is a relaxed KInPb crystal, with properties calculated at the PBE level.

Cell lengths 3.794, 3.794, 8.241 Å; angles 90.00, 90.00, 120.00 degrees
Element x y z (fractional)
Pb 0.333 0.667 0.692
In 0.000 0.000 0.978
K 0.667 0.333 0.330

Calculated values
ρ ... 5.8 g/cm³
E_form ... -0.110 eV/f.u.

***

6.
Below is a relaxed CsSrLaY2 crystal, with properties calculated at the PBE level.

Cell lengths 5.946, 6.578, 5.946 Å; angles 90.00, 90.00, 90.00 degrees
Element x y z (fractional)
Cs 0.000 0.500 0.000
La 0.000 0.000 0.000
Y 0.000 0.000 0.500
Y 0.500 0.000 0.000
Sr 0.500 0.500 0.500

Calculated values
ρ ... 3.8 g/cm³
E_form ... 3.594 eV/f.u.

***

7.
Below is a relaxed InRu2Rh crystal, with properties calculated at the PBE level.

Cell lengths 2.850, 3.771, 5.786 Å; angles 90.00, 90.00, 90.00 degrees
Element x y z (fractional)
Ru 0.500 0.500 0.220
Ru 0.000 0.000 0.014
In 0.000 0.000 0.506
Rh 0.500 0.500 0.759

Calculated values
ρ ... 11.2 g/cm³
E_form ... 0.288 eV/f.u.

***

8.
Below is a relaxed La2YSi crystal, with properties calculated at the PBE level.

Cell lengths 4.713, 4.713, 4.941 Å; angles 90.00, 90.00, 90.00 degrees
Element x y z (fractional)
Y 0.000 0.500 0.500
La 0.500 0.500 0.000
La 0.000 0.000 0.000
Si 0.500 0.000 0.500

Calculated values
ρ ... 6.0 g/cm³
Uncorrected formation energy ... -0.27 eV/atom

***

E_tot, respectively: -19.52; -87.74; -13.47; -12.14; -7.65; -16.80; -28.35; -22.80 eV per formula unit.